Record 1
The following is a PBE-GGA calculation of a relaxed structure of ZnMoOs3, from Alexandria.

Unit cell a=4.6902 b=4.6902 c=4.6902 alpha=90.00 beta=90.00 gamma=90.00
Element x y z (fractional)
Mo (0.0000, 0.0000, 0.0000)
Os (0.0000, 0.5000, 0.0000)
Os (0.0000, 0.0000, 0.5000)
Os (0.5000, 0.0000, 0.0000)
Zn (0.5000, 0.5000, 0.5000)

Output
DOS(E_F): 6.36 states/eV/f.u.
Energy above the lowest structure with this stoichiometry: 235.0 meV per atom
Raw total energy: -6.95 eV/atom
Formation enthalpy at 0 K: 11.038 eV/f.u.
Size of the total moment: 0.0 Bohr magnetons per cell

=====

Record 2
The following is a PBE-GGA calculation of a relaxed structure of Ac3Tl2In3Pd, from Alexandria.

Unit cell a=4.8546 b=8.0039 c=8.0039 alpha=120.00 beta=90.00 gamma=90.00
Element x y z (fractional)
Ac (0.0000, 0.0000, 0.3952)
Ac (0.0000, 0.6048, 0.6048)
Ac (0.0000, 0.3952, 0.0000)
Tl (0.5000, 0.3333, 0.6667)
Tl (0.5000, 0.6667, 0.3333)
In (0.5000, 0.7725, 0.0000)
In (0.5000, 0.2275, 0.2275)
In (0.5000, 0.0000, 0.7725)
Pd (0.0000, 0.0000, 0.0000)

Output
DOS(E_F): 5.17 states/eV/f.u.
Raw total energy: -3.89 eV/atom
Formation enthalpy at 0 K: -4.565 eV/f.u.
Size of the total moment: 0.0 Bohr magnetons per cell

=====

Record 3
The following is a PBE-GGA calculation of a relaxed structure of SmPIO4, from Alexandria.

Unit cell a=6.5855 b=6.5855 c=6.6824 alpha=81.26 beta=81.26 gamma=57.70
Element x y z (fractional)
Sm (0.3024, 0.3024, 0.8161)
Sm (0.6976, 0.6976, 0.1839)
P (0.6354, 0.6354, 0.7468)
P (0.3646, 0.3646, 0.2532)
I (0.0350, 0.0350, 0.2992)
I (0.9650, 0.9650, 0.7008)
O (0.3058, 0.3058, 0.4771)
O (0.6942, 0.6942, 0.5229)
O (0.1279, 0.5144, 0.1358)
O (0.4988, 0.4988, 0.2307)
O (0.4856, 0.8721, 0.8642)
O (0.5144, 0.1279, 0.1358)
O (0.5012, 0.5012, 0.7693)
O (0.8721, 0.4856, 0.8642)

Output
Formation energy from raw total energies: -2401 meV/atom
Raw total energy: -6.90 eV/atom
Size of the total moment: 0.0 Bohr magnetons per cell

=====

What is the raw total energy in the first record?
-6.95 eV/atom

=====

What did the first record say?
The following is a PBE-GGA calculation of a relaxed structure of ZnMoOs3, from Alexandria.

Unit cell a=4.6902 b=4.6902 c=4.6902 alpha=90.00 beta=90.00 gamma=90.00
Element x y z (fractional)
Mo (0.0000, 0.0000, 0.0000)
Os (0.0000, 0.5000, 0.0000)
Os (0.0000, 0.0000, 0.5000)
Os (0.5000, 0.0000, 0.0000)
Zn (0.5000, 0.5000, 0.5000)

Output
DOS(E_F): 6.36 states/eV/f.u.
Energy above the lowest structure with this stoichiometry: 235.0 meV per atom
Raw total energy: -6.95 eV/atom
Formation enthalpy at 0 K: 11.038 eV/f.u.
Size of the total moment: 0.0 Bohr magnetons per cell